(1)
# ZrTcH2Os, optimized geometry, DFT PBEsol
data_ZrTcH2Os
_chemical_formula_sum 'Zr1 Tc1 H2 Os1'
_space_group_name_H-M_alt 'P 1'
_space_group_IT_number 1
_cell_length_a 3.589
_cell_length_b 3.589
_cell_length_c 5.134
_cell_angle_alpha 90.00
_cell_angle_beta 90.00
_cell_angle_gamma 90.00
loop_
_space_group_symop_operation_xyz
'x,y,z'
loop_
_atom_site_label
_atom_site_fract_x
_atom_site_fract_y
_atom_site_fract_z
_atom_site_occupancy
H1 0.000 0.500 0.000 1
H2 0.500 0.000 0.000 1
Os1 0.000 0.000 0.000 1
Tc1 0.500 0.500 0.500 1
Zr1 0.000 0.000 0.500 1
# - Total magnetic moment: 0.5 Bohr magnetons per cell
# - Density of states at the Fermi level: 1.08 states/eV/atom
# - Total energy: -33.99 eV for the cell shown

***

(2)
# KPt3, optimized geometry, DFT PBEsol
data_KPt3
_chemical_formula_sum 'K1 Pt3'
_space_group_name_H-M_alt 'P 1'
_space_group_IT_number 1
_cell_length_a 2.693
_cell_length_b 5.456
_cell_length_c 5.456
_cell_angle_alpha 117.35
_cell_angle_beta 99.47
_cell_angle_gamma 99.47
loop_
_space_group_symop_operation_xyz
'x,y,z'
loop_
_atom_site_label
_atom_site_fract_x
_atom_site_fract_y
_atom_site_fract_z
_atom_site_occupancy
K1 0.000 0.000 0.000 1
Pt1 0.000 0.500 0.500 1
Pt2 0.500 0.000 0.500 1
Pt3 0.500 0.500 0.000 1
# - Total magnetic moment: 0.0 Bohr magnetons per cell
# - E above lowest polymorph: 397 meV per atom
# - Density of states at the Fermi level: 0.99 states/eV/atom
# - DFT formation energy: 0.37 eV per atom
# - Total energy: -20.56 eV for the cell shown

***

(3)
# SrYAl3, optimized geometry, DFT PBEsol
data_SrYAl3
_chemical_formula_sum 'Sr1 Y1 Al3'
_space_group_name_H-M_alt 'P 1'
_space_group_IT_number 1
_cell_length_a 5.328
_cell_length_b 5.328
_cell_length_c 5.328
_cell_angle_alpha 90.00
_cell_angle_beta 90.00
_cell_angle_gamma 90.00
loop_
_space_group_symop_operation_xyz
'x,y,z'
loop_
_atom_site_label
_atom_site_fract_x
_atom_site_fract_y
_atom_site_fract_z
_atom_site_occupancy
Y1 0.500 0.500 0.500 1
Sr1 0.000 0.000 0.000 1
Al1 0.000 0.500 0.000 1
Al2 0.000 0.000 0.500 1
Al3 0.500 0.000 0.000 1
# - Total magnetic moment: 0.0 Bohr magnetons per cell
# - Density of states at the Fermi level: 0.78 states/eV/atom
# - DFT formation energy: 1.08 eV per atom
# - Total energy: -15.53 eV for the cell shown

***

(4)
# Li2SnSe3, optimized geometry, DFT PBEsol
data_Li2SnSe3
_chemical_formula_sum 'Li4 Sn2 Se6'
_space_group_name_H-M_alt 'P 1'
_space_group_IT_number 1
_cell_length_a 7.201
_cell_length_b 7.240
_cell_length_c 7.808
_cell_angle_alpha 116.76
_cell_angle_beta 90.00
_cell_angle_gamma 119.82
loop_
_space_group_symop_operation_xyz
'x,y,z'
loop_
_atom_site_label
_atom_site_fract_x
_atom_site_fract_y
_atom_site_fract_z
_atom_site_occupancy
Sn1 0.844 0.519 0.345 1
Sn2 0.675 0.519 0.845 1
Se1 0.822 0.802 0.237 1
Se2 0.981 0.802 0.737 1
Se3 0.466 0.132 0.222 1
Se4 0.666 0.132 0.722 1
Se5 0.154 0.470 0.252 1
Se6 0.315 0.470 0.752 1
Li1 0.505 0.883 0.345 1
Li2 0.378 0.883 0.845 1
Li3 0.204 0.232 0.380 1
Li4 0.028 0.232 0.880 1
# - Total magnetic moment: 0.0 Bohr magnetons per cell
# - Formation energy from raw total energies: -0.7966 eV per atom
# - Total energy: -49.05 eV for the cell shown